Material: La2W
Method: DFT, PBE
State: optimized geometry

Structure (CIF):
```
data_La2W
_chemical_formula_sum 'La4 W2'
_cell_length_a 7.238
_cell_length_b 7.488
_cell_length_c 3.513
_cell_angle_alpha 90.00
_cell_angle_beta 90.00
_cell_angle_gamma 90.00
_symmetry_space_group_name_H-M 'P 1'
_symmetry_Int_Tables_number 1
_symmetry_space_group_name_Hall 'P 1'
loop_
_atom_site_label
_atom_site_type_symbol
_atom_site_fract_x
_atom_site_fract_y
_atom_site_fract_z
La1 La 0.224 0.181 0.000
La2 La 0.276 0.681 0.500
La3 La 0.724 0.319 0.500
La4 La 0.776 0.819 0.000
W1 W 0.000 0.500 0.000
W2 W 0.500 0.000 0.500
```

Results
Its distance to the lowest polymorph of the same formula is 10.21 kcal/mol of atoms. The calculated formation energy comes out at 74 kJ per mole of atoms. As for the volume: 190.41 Å³ per cell.